# 1
A PBEsol-optimized structure of Cs3AlF6. Source: Alexandria via LeMat-Bulk, functional meta-GGA SCAN. Values from VASP.

```
&SYSTEM
  ibrav = 0, nat = 10, ntyp = 3
/
ATOMIC_SPECIES
Cs 132.91 Cs.upf
Al 26.98 Al.upf
F 19.00 F.upf
CELL_PARAMETERS angstrom
0.000 4.602 4.602
4.602 0.000 4.602
4.602 4.602 0.000
ATOMIC_POSITIONS crystal
Cs 0.000 0.000 0.000
Cs 0.250 0.250 0.250
Cs 0.750 0.750 0.750
Al 0.500 0.500 0.500
F 0.302 0.302 0.698
F 0.302 0.698 0.302
F 0.302 0.698 0.698
F 0.698 0.302 0.302
F 0.698 0.302 0.698
F 0.698 0.698 0.302
```

E_form (uncorrected)   -3.383 eV per atom
Size of the total moment   0.019 μB/atom
Space group   Fm-3m, No. 225
Energy   -176.3 eV for the cell shown
V   19.50 Å³/atom

---

# 2
A PBEsol-optimized structure of LiFeIr2. Source: Alexandria via LeMat-Bulk, functional meta-GGA SCAN. Values from VASP.

```
&SYSTEM
  ibrav = 0, nat = 4, ntyp = 3
/
ATOMIC_SPECIES
Li 6.94 Li.upf
Fe 55.84 Fe.upf
Ir 192.22 Ir.upf
CELL_PARAMETERS angstrom
4.090 0.000 0.000
0.000 4.090 0.000
0.000 0.000 2.912
ATOMIC_POSITIONS crystal
Li 0.000 0.000 0.000
Fe 0.500 0.500 0.000
Ir 0.000 0.500 0.500
Ir 0.500 0.000 0.500
```

Size of the total moment   0.770 μB/atom
Space group   P4/mmm, No. 123
Energy   -163.4 eV for the cell shown
V   12.18 Å³/atom
E_form   -0.176 eV/atom

---

# 3
A PBEsol-optimized structure of Cu3Ge. Source: Alexandria via LeMat-Bulk, functional meta-GGA SCAN. Values from VASP.

```
&SYSTEM
  ibrav = 0, nat = 8, ntyp = 2
/
ATOMIC_SPECIES
Cu 63.55 Cu.upf
Ge 72.64 Ge.upf
CELL_PARAMETERS angstrom
4.162 0.000 0.000
0.000 5.190 0.000
0.000 0.000 4.505
ATOMIC_POSITIONS crystal
Cu 0.250 0.001 0.164
Cu 0.250 0.250 0.666
Cu 0.250 0.499 0.164
Cu 0.750 0.501 0.836
Cu 0.750 0.750 0.334
Cu 0.750 0.999 0.836
Ge 0.250 0.750 0.674
Ge 0.750 0.250 0.326
```

Size of the total moment   0.000 μB/atom
Space group   Pmmn, No. 59
Energy   -129.7 eV for the cell shown
V   12.16 Å³/atom
E_form   -0.037 eV/atom

---

# 4
A PBEsol-optimized structure of Y2AlAs. Source: Alexandria via LeMat-Bulk, functional meta-GGA SCAN. Values from VASP.

```
&SYSTEM
  ibrav = 0, nat = 8, ntyp = 3
/
ATOMIC_SPECIES
Y 88.91 Y.upf
Al 26.98 Al.upf
As 74.92 As.upf
CELL_PARAMETERS angstrom
4.639 0.000 0.000
0.000 4.639 0.000
0.000 0.000 8.223
ATOMIC_POSITIONS crystal
Y 0.000 0.500 0.250
Y 0.000 0.500 0.750
Y 0.500 0.000 0.250
Y 0.500 0.000 0.750
Al 0.000 0.000 0.000
Al 0.500 0.500 0.500
As 0.000 0.000 0.500
As 0.500 0.500 0.000
```

Energy relative to the lowest polymorph listed for this composition   106.5 meV per atom
Size of the total moment   0.001 μB/atom
Space group   I4/mmm, No. 139
Energy   -172.5 eV for the cell shown
V   22.12 Å³/atom
E_form   -0.656 eV/atom

---

# 5
A PBEsol-optimized structure of CdWS3. Source: Alexandria via LeMat-Bulk, functional meta-GGA SCAN. Values from VASP.

```
&SYSTEM
  ibrav = 0, nat = 5, ntyp = 3
/
ATOMIC_SPECIES
Cd 112.41 Cd.upf
W 183.84 W.upf
S 32.06 S.upf
CELL_PARAMETERS angstrom
4.775 0.000 0.000
0.000 4.775 0.000
0.000 0.000 4.775
ATOMIC_POSITIONS crystal
Cd 0.000 0.000 0.000
W 0.500 0.500 0.500
S 0.000 0.000 0.500
S 0.000 0.500 0.000
S 0.500 0.000 0.000
```

E_form (uncorrected)   1.523 eV per atom
Size of the total moment   0.540 μB/atom
Space group   Pm-3m, No. 221
Energy   -121.4 eV for the cell shown
V   21.78 Å³/atom

---

# 6
A PBEsol-optimized structure of TlOsRh2. Source: Alexandria via LeMat-Bulk, functional meta-GGA SCAN. Values from VASP.

```
&SYSTEM
  ibrav = 0, nat = 12, ntyp = 3
/
ATOMIC_SPECIES
Tl 204.38 Tl.upf
Os 190.23 Os.upf
Rh 102.91 Rh.upf
CELL_PARAMETERS angstrom
2.828 0.000 0.000
-1.414 2.449 0.000
0.000 0.000 26.860
ATOMIC_POSITIONS crystal
Tl 0.000 0.000 0.000
Tl 0.333 0.667 0.667
Tl 0.667 0.333 0.333
Os 0.000 0.000 0.500
Os 0.333 0.667 0.167
Os 0.667 0.333 0.833
Rh 0.000 0.000 0.244
Rh 0.000 0.000 0.756
Rh 0.333 0.667 0.422
Rh 0.333 0.667 0.911
Rh 0.667 0.333 0.089
Rh 0.667 0.333 0.578
```

Energy relative to the lowest polymorph listed for this composition   0.0 meV per atom
Size of the total moment   0.000 μB/atom
Space group   R-3m, No. 166
Energy   -630.6 eV for the cell shown
V   15.51 Å³/atom
E_form   0.394 eV/atom

---

# 7
A PBEsol-optimized structure of AlZnPb2. Source: Alexandria via LeMat-Bulk, functional meta-GGA SCAN. Values from VASP.

```
&SYSTEM
  ibrav = 0, nat = 12, ntyp = 3
/
ATOMIC_SPECIES
Al 26.98 Al.upf
Zn 65.41 Zn.upf
Pb 207.20 Pb.upf
CELL_PARAMETERS angstrom
3.558 0.000 0.000
-1.779 3.082 0.000
0.000 0.000 26.232
ATOMIC_POSITIONS crystal
Al 0.000 0.000 0.000
Al 0.333 0.667 0.667
Al 0.667 0.333 0.333
Zn 0.000 0.000 0.500
Zn 0.333 0.667 0.167
Zn 0.667 0.333 0.833
Pb 0.000 0.000 0.248
Pb 0.000 0.000 0.752
Pb 0.333 0.667 0.419
Pb 0.333 0.667 0.915
Pb 0.667 0.333 0.085
Pb 0.667 0.333 0.581
```

Size of the total moment   0.000 μB/atom
Space group   R-3m, No. 166
Energy   -515.7 eV for the cell shown
V   23.97 Å³/atom
E_form   0.232 eV/atom

---

# 8
A PBEsol-optimized structure of MnCo2Ru. Source: Alexandria via LeMat-Bulk, functional meta-GGA SCAN. Values from VASP.

```
&SYSTEM
  ibrav = 0, nat = 12, ntyp = 3
/
ATOMIC_SPECIES
Mn 54.94 Mn.upf
Co 58.93 Co.upf
Ru 101.07 Ru.upf
CELL_PARAMETERS angstrom
2.506 0.000 0.000
-1.253 2.171 0.000
0.000 0.000 24.229
ATOMIC_POSITIONS crystal
Mn 0.000 0.000 0.000
Mn 0.333 0.667 0.667
Mn 0.667 0.333 0.333
Co 0.000 0.000 0.253
Co 0.000 0.000 0.747
Co 0.333 0.667 0.413
Co 0.333 0.667 0.920
Co 0.667 0.333 0.080
Co 0.667 0.333 0.587
Ru 0.000 0.000 0.500
Ru 0.333 0.667 0.167
Ru 0.667 0.333 0.833
```

Energy relative to the lowest polymorph listed for this composition   237.4 meV per atom
Size of the total moment   1.622 μB/atom
Space group   R-3m, No. 166
Energy   -260.0 eV for the cell shown
V   10.98 Å³/atom
E_form   0.252 eV/atom

---

# 9
A PBEsol-optimized structure of LiCoSe. Source: Alexandria via LeMat-Bulk, functional meta-GGA SCAN. Values from VASP.

```
&SYSTEM
  ibrav = 0, nat = 6, ntyp = 3
/
ATOMIC_SPECIES
Li 6.94 Li.upf
Co 58.93 Co.upf
Se 78.96 Se.upf
CELL_PARAMETERS angstrom
3.123 0.000 0.000
0.000 3.123 0.000
0.000 0.000 8.650
ATOMIC_POSITIONS crystal
Li 0.000 0.000 0.000
Li 0.500 0.500 0.500
Co 0.000 0.000 0.295
Co 0.500 0.500 0.795
Se 0.000 0.000 0.701
Se 0.500 0.500 0.201
```

E_form (uncorrected)   -0.129 eV per atom
Size of the total moment   0.000 μB/atom
Space group   I4mm, No. 107
Energy   -80.3 eV for the cell shown
V   14.06 Å³/atom

---

# 10
A PBEsol-optimized structure of HfBi2. Source: Alexandria via LeMat-Bulk, functional meta-GGA SCAN. Values from VASP.

```
&SYSTEM
  ibrav = 0, nat = 24, ntyp = 2
/
ATOMIC_SPECIES
Hf 178.49 Hf.upf
Bi 208.98 Bi.upf
CELL_PARAMETERS angstrom
10.137 0.000 0.000
0.000 15.510 0.000
0.000 0.000 3.975
ATOMIC_POSITIONS crystal
Hf 0.024 0.247 0.000
Hf 0.161 0.505 0.000
Hf 0.339 0.005 0.500
Hf 0.476 0.747 0.500
Hf 0.524 0.253 0.500
Hf 0.661 0.995 0.500
Hf 0.839 0.495 0.000
Hf 0.976 0.753 0.000
Bi 0.014 0.393 0.500
Bi 0.124 0.056 0.000
Bi 0.153 0.852 0.500
Bi 0.237 0.200 0.500
Bi 0.263 0.700 0.000
Bi 0.347 0.352 0.000
Bi 0.376 0.556 0.500
Bi 0.486 0.893 0.000
Bi 0.514 0.107 0.000
Bi 0.624 0.444 0.500
Bi 0.653 0.648 0.000
Bi 0.737 0.300 0.000
Bi 0.763 0.800 0.500
Bi 0.847 0.148 0.500
Bi 0.876 0.944 0.000
Bi 0.986 0.607 0.500
```

Size of the total moment   0.000 μB/atom
Space group   Pnnm, No. 58
Energy   -1762.4 eV for the cell shown
V   26.04 Å³/atom
E_form   -0.155 eV/atom

---

# 11
A PBEsol-optimized structure of Ta6S. Source: Alexandria via LeMat-Bulk, functional meta-GGA SCAN. Values from VASP.

```
&SYSTEM
  ibrav = 0, nat = 28, ntyp = 2
/
ATOMIC_SPECIES
Ta 180.95 Ta.upf
S 32.06 S.upf
CELL_PARAMETERS angstrom
7.048 -2.620 0.000
7.048 2.620 0.000
-6.952 0.000 12.999
ATOMIC_POSITIONS crystal
Ta 0.003 0.318 0.045
Ta 0.063 0.359 0.397
Ta 0.111 0.818 0.826
Ta 0.159 0.345 0.748
Ta 0.182 0.889 0.674
Ta 0.214 0.575 0.183
Ta 0.274 0.601 0.406
Ta 0.318 0.003 0.545
Ta 0.345 0.159 0.248
Ta 0.359 0.063 0.897
Ta 0.399 0.726 0.094
Ta 0.425 0.786 0.317
Ta 0.575 0.214 0.683
Ta 0.601 0.274 0.906
Ta 0.641 0.937 0.103
Ta 0.655 0.841 0.752
Ta 0.682 0.997 0.455
Ta 0.726 0.399 0.594
Ta 0.786 0.425 0.817
Ta 0.818 0.111 0.326
Ta 0.841 0.655 0.252
Ta 0.889 0.182 0.174
Ta 0.937 0.641 0.603
Ta 0.997 0.682 0.955
S 0.305 0.476 0.543
S 0.476 0.305 0.043
S 0.524 0.695 0.957
S 0.695 0.524 0.457
```

E_form (uncorrected)   -0.271 eV per atom
Size of the total moment   0.000 μB/atom
Space group   C2/c, No. 15
Energy   -1644.1 eV for the cell shown
V   17.15 Å³/atom

---

# 12
A PBEsol-optimized structure of Sr2Mg. Source: Alexandria via LeMat-Bulk, functional meta-GGA SCAN. Values from VASP.

```
&SYSTEM
  ibrav = 0, nat = 12, ntyp = 2
/
ATOMIC_SPECIES
Sr 87.62 Sr.upf
Mg 24.30 Mg.upf
CELL_PARAMETERS angstrom
4.012 0.000 0.000
0.000 4.012 0.000
0.000 0.000 31.562
ATOMIC_POSITIONS crystal
Sr 0.000 0.250 0.307
Sr 0.000 0.250 0.443
Sr 0.000 0.750 0.557
Sr 0.000 0.750 0.693
Sr 0.500 0.250 0.057
Sr 0.500 0.250 0.193
Sr 0.500 0.750 0.807
Sr 0.500 0.750 0.943
Mg 0.000 0.250 0.875
Mg 0.000 0.750 0.125
Mg 0.500 0.250 0.625
Mg 0.500 0.750 0.375
```

Size of the total moment   0.019 μB/atom
Space group   I4_1/amd, No. 141
Energy   -197.6 eV for the cell shown
V   42.33 Å³/atom
E_form   0.044 eV/atom